No. 1
La6Mg5Bi after structural relaxation, computed with PBE.

Geometry as POSCAR:
```
La6Mg5Bi
1.0
2.823 -8.510 0.000
2.823 8.510 0.000
0.000 0.000 7.840
La Mg Bi
6 5 1
Cartesian
0.000 0.000 1.940
0.000 0.000 5.900
2.823 2.836 2.013
2.823 2.836 5.827
2.823 -2.836 2.013
2.823 -2.836 5.827
2.823 5.718 3.920
2.823 5.513 0.000
2.823 0.000 3.920
2.823 -5.513 0.000
2.823 -5.718 3.920
2.823 0.000 0.000
```

Space-group type: Cmmm
Size of the total moment, μB per formula unit: 0.001
Calculated formation energy, eV/atom: -0.24

---

No. 2
Cd2SeCl after structural relaxation, computed with PBE.

Geometry as POSCAR:
```
Cd2SeCl
1.0
7.097 0.000 0.000
0.000 7.097 0.000
0.000 0.000 7.097
Cd Se Cl
8 4 4
Cartesian
1.774 1.774 1.774
1.774 1.774 5.323
1.774 5.323 1.774
1.774 5.323 5.323
5.323 1.774 1.774
5.323 1.774 5.323
5.323 5.323 1.774
5.323 5.323 5.323
0.000 0.000 0.000
0.000 3.549 3.549
3.549 0.000 3.549
3.549 3.549 0.000
0.000 0.000 3.549
0.000 3.549 0.000
3.549 0.000 0.000
3.549 3.549 3.549
```

Space-group type: Fm-3m
Size of the total moment, μB per formula unit: 0.000
E_form (uncorrected), eV/f.u.: -1.19
Excess energy over the best structure of this formula in the dataset, eV/f.u.: 0.86

---

No. 3
ZnHRhAu2 after structural relaxation, computed with PBE.

Geometry as POSCAR:
```
ZnHRhAu2
1.0
4.261 0.000 0.000
0.000 4.261 0.000
0.000 0.000 3.734
Zn H Rh Au
1 1 1 2
Cartesian
0.000 0.000 0.000
2.130 2.130 1.867
2.130 2.130 0.000
0.000 2.130 1.867
2.130 0.000 1.867
```

Calculated total energy, eV for the cell shown: -18.73
Space-group type: P4/mmm
Size of the total moment, μB per formula unit: 0.000

---

No. 4
Pm9Sm4In11 after structural relaxation, computed with PBE.

Geometry as POSCAR:
```
Pm9Sm4In11
1.0
9.047 -10.718 0.000
9.047 10.718 0.000
0.000 0.000 3.560
Pm Sm In
9 4 11
Cartesian
0.000 0.000 0.000
6.931 5.583 0.000
6.900 1.907 0.000
11.163 5.583 0.000
6.900 -1.907 0.000
11.194 1.907 0.000
6.931 -5.583 0.000
11.194 -1.907 0.000
11.163 -5.583 0.000
2.792 1.791 0.000
2.792 -1.791 0.000
15.302 1.791 0.000
15.302 -1.791 0.000
4.670 3.790 1.780
9.047 7.776 1.780
4.850 0.000 1.780
9.047 3.681 1.780
4.670 -3.790 1.780
9.047 0.000 1.780
13.424 3.790 1.780
9.047 -3.681 1.780
13.244 0.000 1.780
9.047 -7.776 1.780
13.424 -3.790 1.780
```

Space-group type: Cmmm
Size of the total moment, μB per formula unit: 0.000
Calculated formation energy, eV/atom: -0.41

---

No. 5
PtSCl2O after structural relaxation, computed with PBE.

Geometry as POSCAR:
```
PtSCl2O
1.0
4.576 0.000 0.000
0.000 4.576 0.000
0.000 0.000 4.006
Pt S Cl O
1 1 2 1
Cartesian
0.000 0.000 0.000
2.288 2.288 0.000
0.000 2.288 2.003
2.288 0.000 2.003
2.288 2.288 2.003
```

Space-group type: P4/mmm
Size of the total moment, μB per formula unit: 1.537
E_form (uncorrected), eV/f.u.: 5.65
Excess energy over the best structure of this formula in the dataset, eV/f.u.: 2.20

---

No. 6
Li4Pd2Pb3 after structural relaxation, computed with PBE.

Geometry as POSCAR:
```
Li4Pd2Pb3
1.0
4.589 -2.429 0.000
4.589 2.429 0.000
-1.313 0.000 7.707
Li Pd Pb
4 2 3
Cartesian
0.811 0.000 1.235
2.226 0.000 4.166
5.639 0.000 3.541
7.054 0.000 6.472
1.030 0.000 6.625
6.835 0.000 1.081
-0.656 0.000 3.853
3.704 0.000 1.392
4.161 0.000 6.314
```

Space-group type: C2/m
Size of the total moment, μB per formula unit: 0.000
Calculated formation energy, eV/atom: -0.33
Excess energy over the best structure of this formula in the dataset, eV/f.u.: 0.18

---

No. 7
Ta2TiPd after structural relaxation, computed with PBE.

Geometry as POSCAR:
```
Ta2TiPd
1.0
3.262 0.000 0.000
0.000 3.262 0.000
0.000 0.000 6.429
Ta Ti Pd
2 1 1
Cartesian
0.000 0.000 0.000
1.631 1.631 1.602
0.000 0.000 3.176
1.631 1.631 4.768
```

Space-group type: P4mm
Size of the total moment, μB per formula unit: 0.000
Calculated formation energy, eV/atom: -0.22
Excess energy over the best structure of this formula in the dataset, eV/f.u.: 0.00

---

No. 8
ZrAlSi2 after structural relaxation, computed with PBE.

Geometry as POSCAR:
```
ZrAlSi2
1.0
3.526 0.000 0.000
0.000 3.526 0.000
0.000 0.000 5.415
Zr Al Si
1 1 2
Cartesian
0.000 0.000 0.000
1.763 1.763 1.553
0.000 0.000 2.743
1.763 1.763 4.111
```

Space-group type: P4mm
Size of the total moment, μB per formula unit: 0.000
E_form (uncorrected), eV/f.u.: -1.01

---

No. 9
SiTcNiW2 after structural relaxation, computed with PBE.

Geometry as POSCAR:
```
SiTcNiW2
1.0
4.685 0.000 0.000
0.000 4.685 0.000
0.000 0.000 4.466
Si Tc Ni W
1 1 1 2
Cartesian
0.000 0.000 0.000
2.343 2.343 2.233
2.343 2.343 0.000
0.000 2.343 2.233
2.343 0.000 2.233
```

Space-group type: P4/mmm
Size of the total moment, μB per formula unit: 0.000
E_form (uncorrected), eV/f.u.: 9.50

---

No. 10
Cd2H5Pt3 after structural relaxation, computed with PBE.

Geometry as POSCAR:
```
Cd2H5Pt3
1.0
5.505 0.000 0.000
2.684 6.684 0.000
0.244 3.520 6.355
Cd H Pt
4 10 6
Cartesian
0.880 1.524 0.813
2.792 5.996 3.704
5.641 4.208 2.651
7.553 8.680 5.542
2.143 5.332 1.473
2.075 2.889 4.840
3.300 2.841 0.230
2.905 2.792 3.010
3.519 4.279 4.676
4.914 5.926 1.679
5.528 7.412 3.345
5.133 7.363 6.125
6.358 7.315 1.515
6.289 4.872 4.882
4.099 8.581 3.609
2.850 3.891 1.578
4.658 5.512 0.132
3.774 4.692 6.222
5.583 6.313 4.777
4.334 1.623 2.745
```

Calculated total energy, eV for the cell shown: -74.07
Space-group type: P-1
Size of the total moment, μB per formula unit: 0.000

---

No. 11
Dy4Sb3Se after structural relaxation, computed with PBE.

Geometry as POSCAR:
```
Dy4Sb3Se
1.0
8.632 0.000 0.000
0.000 12.196 0.000
0.000 0.000 4.320
Dy Sb Se
8 6 2
Cartesian
0.000 3.015 0.000
0.000 9.181 0.000
2.121 0.000 2.160
2.195 6.098 2.160
4.316 3.083 0.000
4.316 9.113 0.000
6.438 6.098 2.160
6.511 0.000 2.160
0.000 6.098 0.000
2.158 3.049 2.160
2.158 9.147 2.160
4.316 0.000 0.000
6.474 3.049 2.160
6.474 9.147 2.160
0.000 0.000 0.000
4.316 6.098 0.000
```

Space-group type: Cmmm
Size of the total moment, μB per formula unit: 0.000
E_form (uncorrected), eV/f.u.: -10.40
Excess energy over the best structure of this formula in the dataset, eV/f.u.: 0.00

---

No. 12
Dy2YHoTm6 after structural relaxation, computed with PBE.

Geometry as POSCAR:
```
Dy2YHoTm6
1.0
4.459 -7.452 0.000
4.459 7.452 0.000
-1.263 0.000 9.360
Dy Y Ho Tm
4 2 2 12
Cartesian
2.174 0.810 0.412
1.542 -0.810 5.092
6.112 0.810 4.268
5.480 -0.810 8.948
4.143 7.122 2.340
3.511 -7.122 7.020
3.511 1.356 7.020
4.143 -1.356 2.340
2.413 4.101 1.731
3.207 4.634 5.213
3.816 4.634 8.827
3.045 1.589 3.564
5.873 4.101 2.949
5.241 1.589 1.116
2.413 -1.589 8.244
1.781 -4.101 6.412
4.609 -1.589 5.796
3.839 -4.634 0.533
4.448 -4.634 4.147
5.242 -4.101 7.629
```

Space-group type: C2/c
Size of the total moment, μB per formula unit: 0.000
Calculated formation energy, eV/atom: 0.12

---

No. 13
Tb2Pr6ErTh after structural relaxation, computed with PBE.

Geometry as POSCAR:
```
Tb2Pr6ErTh
1.0
4.702 -7.583 0.000
4.702 7.583 0.000
-1.441 0.000 9.741
Tb Pr Er Th
4 12 2 2
Cartesian
2.220 0.680 0.486
1.500 -0.680 5.357
6.464 0.680 4.385
5.743 -0.680 9.256
2.469 4.299 1.843
3.275 4.915 5.423
3.968 4.915 9.189
3.258 1.604 3.716
6.215 4.299 3.027
5.426 1.604 1.155
2.538 -1.604 8.587
1.749 -4.299 6.714
4.705 -1.604 6.026
3.996 -4.915 0.553
4.688 -4.915 4.318
5.495 -4.299 7.898
3.622 1.388 7.306
4.342 -1.388 2.435
4.342 7.178 2.435
3.622 -7.178 7.306
```

Space-group type: C2/c
Size of the total moment, μB per formula unit: 0.000
Calculated formation energy, eV/atom: 0.14

---

No. 14
Tl2Au2Cl7 after structural relaxation, computed with PBE.

Geometry as POSCAR:
```
Tl2Au2Cl7
1.0
3.984 -5.805 0.000
3.984 5.805 0.000
-1.398 0.000 7.352
Tl Au Cl
2 2 7
Cartesian
3.984 3.316 0.000
3.984 -3.316 0.000
0.735 0.000 3.789
5.835 0.000 3.563
0.899 1.766 5.635
0.838 0.000 1.444
0.899 -1.766 5.635
3.285 0.000 3.676
5.671 1.766 1.717
5.732 0.000 5.908
5.671 -1.766 1.717
```

Space-group type: C2/m
Size of the total moment, μB per formula unit: 0.000
E_form (uncorrected), eV/f.u.: -4.25

---

No. 15
Al2NiSe after structural relaxation, computed with PBE.

Geometry as POSCAR:
```
Al2NiSe
1.0
3.240 0.000 0.000
-1.620 2.806 0.000
0.000 0.000 21.791
Al Ni Se
6 3 3
Cartesian
0.000 0.000 0.000
0.000 0.000 5.115
0.000 1.870 14.527
0.000 1.870 19.642
1.620 0.935 7.264
1.620 0.935 12.379
0.000 0.000 16.130
0.000 1.870 8.867
1.620 0.935 1.603
0.000 0.000 10.569
0.000 1.870 3.306
1.620 0.935 17.833
```

Space-group type: R3m
Size of the total moment, μB per formula unit: 0.000
E_form (uncorrected), eV/f.u.: -0.33

---

No. 16
HgIrAu2 after structural relaxation, computed with PBE.

Geometry as POSCAR:
```
HgIrAu2
1.0
2.921 0.000 0.000
0.000 5.015 0.000
0.000 0.000 9.831
Hg Ir Au
2 2 4
Cartesian
0.000 0.000 0.000
1.461 2.507 0.000
0.000 2.507 2.416
1.461 0.000 2.416
0.000 0.000 4.764
0.000 2.507 7.241
1.461 0.000 7.241
1.461 2.507 4.764
```

Space-group type: Cmm2
Size of the total moment, μB per formula unit: 0.000
Calculated formation energy, eV/atom: 0.33

---

No. 17
Tb2CoH after structural relaxation, computed with PBE.

Geometry as POSCAR:
```
Tb2CoH
1.0
3.192 0.000 0.000
0.000 3.192 0.000
0.000 0.000 6.927
Tb Co H
2 1 1
Cartesian
0.000 0.000 1.713
0.000 0.000 5.214
1.596 1.596 0.000
1.596 1.596 3.463
```

Space-group type: P4/mmm
Size of the total moment, μB per formula unit: 0.331
Excess energy over the best structure of this formula in the dataset, eV/f.u.: 0.69

---

No. 18
GaCoGePt after structural relaxation, computed with PBE.

Geometry as POSCAR:
```
GaCoGePt
1.0
3.715 0.000 0.000
0.000 2.747 0.000
-0.011 0.000 6.101
Ga Co Ge Pt
1 1 1 1
Cartesian
0.000 0.000 0.000
3.703 1.374 4.040
1.846 0.000 3.445
1.858 1.374 1.245
```

Space-group type: Pm
Size of the total moment, μB per formula unit: 0.000
Calculated formation energy, eV/atom: -0.31
Excess energy over the best structure of this formula in the dataset, eV/f.u.: 0.02

---

No. 19
PrFeSe2 after structural relaxation, computed with PBE.

Geometry as POSCAR:
```
PrFeSe2
1.0
3.672 0.000 0.000
-1.836 3.180 0.000
0.000 0.000 25.783
Pr Fe Se
3 3 6
Cartesian
0.000 0.000 0.000
0.000 2.120 17.189
1.836 1.060 8.594
0.000 0.000 12.891
0.000 2.120 4.297
1.836 1.060 21.486
0.000 0.000 2.931
0.000 0.000 22.852
0.000 2.120 14.257
0.000 2.120 20.120
1.836 1.060 5.663
1.836 1.060 11.526
```

Space-group type: R-3m
Size of the total moment, μB per formula unit: 2.956
E_form (uncorrected), eV/f.u.: -1.19

---

No. 20
KAg4Br after structural relaxation, computed with PBE.

Geometry as POSCAR:
```
KAg4Br
1.0
0.000 4.109 4.109
4.109 0.000 4.109
4.109 4.109 0.000
K Ag Br
1 4 1
Cartesian
0.000 0.000 0.000
5.135 3.083 3.083
3.083 5.135 3.083
3.083 3.083 5.135
5.135 5.135 5.135
2.055 2.055 2.055
```

Space-group type: F-43m
Size of the total moment, μB per formula unit: 0.000
E_form (uncorrected), eV/f.u.: -0.84

---

No. 21
Pm2Ag3Sn2 after structural relaxation, computed with PBE.

Geometry as POSCAR:
```
Pm2Ag3Sn2
1.0
4.178 0.000 0.000
0.000 20.538 0.000
0.000 0.000 4.252
Pm Ag Sn
4 6 4
Cartesian
0.000 3.233 0.000
0.000 17.306 0.000
2.089 7.036 0.000
2.089 13.502 0.000
0.000 0.000 0.000
0.000 8.938 2.126
0.000 11.601 2.126
2.089 1.332 2.126
2.089 10.269 0.000
2.089 19.207 2.126
0.000 6.113 2.126
0.000 14.426 2.126
2.089 4.157 2.126
2.089 16.382 2.126
```

Space-group type: Cmmm
Size of the total moment, μB per formula unit: 0.000
Calculated formation energy, eV/atom: -0.20

---

No. 22
Mg3MnTc after structural relaxation, computed with PBE.

Geometry as POSCAR:
```
Mg3MnTc
1.0
4.834 0.000 0.000
0.000 4.834 0.000
0.000 0.000 4.834
Mg Mn Tc
3 1 1
Cartesian
0.000 0.000 2.417
0.000 2.417 0.000
2.417 0.000 0.000
0.000 0.000 0.000
2.417 2.417 2.417
```

Space-group type: Pm-3m
Size of the total moment, μB per formula unit: 6.087
Calculated formation energy, eV/atom: 1.23
Excess energy over the best structure of this formula in the dataset, eV/f.u.: 1.04

---

No. 23
PrZnCu5 after structural relaxation, computed with PBE.

Geometry as POSCAR:
```
PrZnCu5
1.0
8.187 0.000 0.000
0.000 5.128 0.000
0.000 0.000 10.294
Pr Zn Cu
4 4 20
Cartesian
1.964 1.282 0.634
2.129 3.846 5.781
6.058 1.282 4.513
6.223 3.846 9.660
1.184 3.846 8.857
2.910 1.282 3.710
5.277 3.846 6.584
7.003 1.282 1.437
0.524 3.846 1.037
0.540 0.022 3.187
0.540 2.542 3.187
0.762 1.282 5.309
1.484 1.282 7.748
2.610 3.846 2.600
3.331 3.846 0.162
3.553 2.586 8.334
3.553 5.106 8.334
3.570 1.282 6.184
4.617 3.846 4.110
4.634 0.022 1.960
4.634 2.542 1.960
4.856 1.282 10.132
5.577 1.282 7.694
6.703 3.846 2.547
7.425 3.846 4.985
7.647 2.586 7.107
7.647 5.106 7.107
7.663 1.282 9.257
```

Space-group type: Pnma
Size of the total moment, μB per formula unit: 0.000
Calculated formation energy, eV/atom: -0.18